The following is a PBE calculation of crystalline BC at its relaxed geometry, from the Alexandria database.

Summary:
Uncorrected energy, eV/atom: -7.63
Space group: Cm, No. 8
DFT formation energy, eV/atom: 0.318

Unit cell a=5.641 b=5.641 c=6.193 alpha=108.47 beta=108.47 gamma=27.12
Element x y z (fractional)
B 0.000 0.000 0.000
B 0.060 0.060 0.590
B 0.413 0.413 0.585
B 0.511 0.511 0.375
B 0.657 0.657 0.999
C 0.121 0.121 0.852
C 0.327 0.327 0.326
C 0.520 0.520 0.132
C 0.774 0.774 0.224
C 0.952 0.952 0.724



The following is a PBE calculation of crystalline BC at its relaxed geometry, from the Alexandria database.

Summary:
Uncorrected energy, eV/atom: -7.55
Space group: Pm, No. 6
DFT formation energy, eV/atom: 0.398

Unit cell a=4.736 b=2.670 c=6.826 alpha=90.00 beta=90.75 gamma=90.00
Element x y z (fractional)
B 0.000 0.000 0.000
B 0.062 0.000 0.628
B 0.292 0.500 0.374
B 0.361 0.000 0.036
B 0.557 0.500 0.904
B 0.794 0.500 0.260
C 0.231 0.500 0.604
C 0.381 0.000 0.270
C 0.563 0.500 0.669
C 0.718 0.000 0.593
C 0.723 0.000 0.367
C 0.854 0.500 0.030



The following is a PBE calculation of crystalline B7C5 at its relaxed geometry, from the Alexandria database.

Summary:
Uncorrected energy, eV/atom: -7.31
Space group: Pm, No. 6
DFT formation energy, eV/atom: 0.429

Unit cell a=4.918 b=2.626 c=6.184 alpha=90.00 beta=90.52 gamma=90.00
Element x y z (fractional)
B 0.000 0.000 0.000
B 0.017 0.000 0.290
B 0.087 0.500 0.796
B 0.166 0.500 0.099
B 0.319 0.000 0.672
B 0.568 0.500 0.093
B 0.785 0.500 0.400
C 0.306 0.000 0.416
C 0.432 0.500 0.324
C 0.633 0.000 0.744
C 0.669 0.000 0.988
C 0.777 0.500 0.660



The following is a PBE calculation of crystalline B3C at its relaxed geometry, from the Alexandria database.

Summary:
Uncorrected energy, eV/atom: -7.06
Space group: Pm, No. 6
DFT formation energy, eV/atom: 0.252

Unit cell a=4.806 b=2.810 c=6.492 alpha=90.00 beta=103.77 gamma=90.00
Element x y z (fractional)
B 0.000 0.000 0.000
B 0.002 0.000 0.274
B 0.041 0.500 0.687
B 0.193 0.000 0.537
B 0.468 0.500 0.980
B 0.643 0.500 0.531
B 0.651 0.500 0.267
B 0.679 0.000 0.102
B 0.986 0.500 0.439
C 0.125 0.500 0.928
C 0.543 0.000 0.627
C 0.618 0.000 0.866



The following is a PBE calculation of crystalline B7C5 at its relaxed geometry, from the Alexandria database.

Summary:
Uncorrected energy, eV/atom: -7.40
Space group: Pm, No. 6
DFT formation energy, eV/atom: 0.341

Unit cell a=4.628 b=2.654 c=6.864 alpha=90.00 beta=90.17 gamma=90.00
Element x y z (fractional)
B 0.000 0.000 0.000
B 0.008 0.000 0.644
B 0.152 0.500 0.254
B 0.350 0.000 0.396
B 0.507 0.500 0.694
B 0.680 0.000 0.251
B 0.829 0.500 0.398
C 0.178 0.500 0.024
C 0.339 0.000 0.623
C 0.496 0.500 0.962
C 0.655 0.000 0.018
C 0.834 0.500 0.623



The following is a PBE calculation of crystalline B3C at its relaxed geometry, from the Alexandria database.

Summary:
Uncorrected energy, eV/atom: -7.01
Space group: Cm, No. 8
DFT formation energy, eV/atom: 0.302

Unit cell a=6.398 b=6.398 c=5.000 alpha=97.14 beta=97.14 gamma=25.03
Element x y z (fractional)
B 0.000 0.000 0.000
B 0.067 0.067 0.352
B 0.253 0.253 0.149
B 0.316 0.316 0.678
B 0.443 0.443 0.823
B 0.506 0.506 0.505
B 0.583 0.583 0.865
B 0.638 0.638 0.540
B 0.933 0.933 0.298
C 0.131 0.131 0.025
C 0.764 0.764 0.565
C 0.806 0.806 0.258



The following is a PBE calculation of crystalline B7C5 at its relaxed geometry, from the Alexandria database.

Summary:
Uncorrected energy, eV/atom: -7.30
Space group: C222, No. 21
DFT formation energy, eV/atom: 0.435

Unit cell a=5.987 b=5.987 c=3.804 alpha=90.00 beta=90.00 gamma=141.74
Element x y z (fractional)
B 0.000 0.000 0.000
B 0.000 0.500 0.264
B 0.188 0.383 0.715
B 0.383 0.188 0.285
B 0.500 0.000 0.736
B 0.617 0.812 0.285
B 0.812 0.617 0.715
C 0.163 0.837 0.500
C 0.332 0.668 0.000
C 0.500 0.500 0.500
C 0.668 0.332 0.000
C 0.837 0.163 0.500



The following is a PBE calculation of crystalline B3C at its relaxed geometry, from the Alexandria database.

Summary:
Uncorrected energy, eV/atom: -6.85
Space group: Pm, No. 6
DFT formation energy, eV/atom: 0.465

Unit cell a=3.592 b=2.699 c=8.437 alpha=90.00 beta=90.66 gamma=90.00
Element x y z (fractional)
B 0.000 0.000 0.000
B 0.015 0.500 0.314
B 0.211 0.000 0.184
B 0.298 0.000 0.387
B 0.417 0.000 0.890
B 0.531 0.500 0.262
B 0.687 0.500 0.589
B 0.770 0.500 0.897
B 0.847 0.500 0.114
C 0.001 0.500 0.723
C 0.228 0.000 0.709
C 0.481 0.000 0.563



The following is a PBE calculation of crystalline BC at its relaxed geometry, from the Alexandria database.

Summary:
Uncorrected energy, eV/atom: -7.52
Space group: Pm, No. 6
DFT formation energy, eV/atom: 0.430

Unit cell a=4.477 b=2.613 c=6.802 alpha=90.00 beta=93.21 gamma=90.00
Element x y z (fractional)
B 0.000 0.000 0.000
B 0.061 0.500 0.846
B 0.189 0.500 0.616
B 0.429 0.500 0.986
B 0.664 0.000 0.856
B 0.790 0.500 0.551
C 0.320 0.000 0.305
C 0.322 0.000 0.528
C 0.479 0.500 0.228
C 0.635 0.000 0.625
C 0.824 0.500 0.301
C 0.984 0.000 0.231



The following is a PBE calculation of crystalline B7C5 at its relaxed geometry, from the Alexandria database.

Summary:
Uncorrected energy, eV/atom: -7.39
Space group: Cm, No. 8
DFT formation energy, eV/atom: 0.352

Unit cell a=5.926 b=5.926 c=5.569 alpha=104.19 beta=104.19 gamma=26.66
Element x y z (fractional)
B 0.000 0.000 0.000
B 0.008 0.008 0.394
B 0.242 0.242 0.870
B 0.307 0.307 0.626
B 0.631 0.631 0.770
B 0.654 0.654 0.292
B 0.830 0.830 0.819
C 0.242 0.242 0.344
C 0.316 0.316 0.153
C 0.563 0.563 0.491
C 0.567 0.567 0.992
C 0.893 0.893 0.151



The following is a PBE calculation of crystalline CaBC at its relaxed geometry, from the Alexandria database.

Summary:
Uncorrected energy, eV/atom: -6.13
Space group: P6_3/mmc, No. 194
DFT formation energy, eV/atom: -0.157

Unit cell a=4.347 b=4.347 c=5.802 alpha=90.00 beta=90.00 gamma=120.00
Element x y z (fractional)
Ca 0.333 0.667 0.250
Ca 0.667 0.333 0.750
B 0.000 0.000 0.000
B 0.000 0.000 0.500
C 0.000 0.000 0.250
C 0.000 0.000 0.750



The following is a PBE calculation of crystalline CaB2C2 at its relaxed geometry, from the Alexandria database.

Summary:
Uncorrected energy, eV/atom: -6.64
Space group: P6_3/mmc, No. 194
DFT formation energy, eV/atom: 0.118

Unit cell a=2.920 b=2.920 c=11.603 alpha=90.00 beta=90.00 gamma=120.00
Element x y z (fractional)
Ca 0.000 0.000 0.250
Ca 0.000 0.000 0.750
B 0.333 0.667 0.064
B 0.333 0.667 0.436
B 0.667 0.333 0.564
B 0.667 0.333 0.936
C 0.333 0.667 0.592
C 0.333 0.667 0.908
C 0.667 0.333 0.092
C 0.667 0.333 0.408